NaAcCrO4 | PBE with a Hubbard U | optimized geometry

a = 6.034 Å, b = 5.874 Å, c = 7.972 Å
α = 90.00°, β = 63.34°, γ = 90.00°
Each line ends with the local moment (μB).
Fractional positions:
O 0.203 0.512 0.289  -0.02
O 0.276 0.250 0.832  -0.04
O 0.662 0.250 0.469  -0.01
O 0.724 0.750 0.168  -0.04
O 0.203 0.988 0.289  -0.02
O 0.338 0.750 0.531  -0.01
O 0.797 0.012 0.711  -0.02
O 0.797 0.488 0.711  -0.02
Ac 0.208 0.250 0.540  0.01
Ac 0.792 0.750 0.460  0.01
Na 0.052 0.250 0.148  0.00
Na 0.948 0.750 0.852  0.00
Cr 0.395 0.750 0.282  2.05
Cr 0.605 0.250 0.718  2.05

Output
* Fermi-level density of states: 0.0 states/eV/cell
* total magnetization: 2.00 μB per formula unit
* theoretical density: 4.814 g cm⁻³
* calculated total energy: -0.5083 Ry per atom